1.
# DyTm6Sc6

A relaxed DyTm6Sc6 crystal (PBE-GGA, Alexandria).

The structure belongs to space group P6/mmm (No. 191); the cell edges are 6.3486, 6.3486 and 10.8094 Å and the angles 90.00°, 90.00° and 120.00°. Symmetry generates all atoms from Dy at (0.0000, 0.0000, 0.0000), Tm at (0.0000, 0.0000, 0.3402), Tm at (0.3333, 0.6667, 0.0000), Tm at (0.3333, 0.6667, 0.5000) and Sc at (0.0000, 0.5000, 0.2405).

For the total magnetization, the calculation gives 0.000 Bohr magnetons per cell. The calculation puts the formation energy at 0.230 eV/atom. The calculated volume comes out at 377.3 Å³ per cell.

2.
# PaAlAuO6

A relaxed PaAlAuO6 crystal (PBE-GGA, Alexandria).

The structure belongs to space group P4_2nm (No. 102); the cell edges are 4.941, 4.941 and 9.413 Å and the angles 90.00°, 90.00° and 90.00°. Symmetry generates all atoms from Pa at (0.000, 0.000, 0.000), Al at (0.000, 0.000, 0.664), Au at (0.000, 0.000, 0.335), O at (0.176, 0.176, 0.510), O at (0.177, 0.177, 0.816) and O at (0.205, 0.205, 0.170).

For the total magnetization, the calculation gives 0.000 Bohr magnetons per cell. The uncorrected formation energy is -2.05 eV/atom. The calculated volume comes out at 229.8 Å³ per cell.

3.
# CaPd4O8

A relaxed CaPd4O8 crystal (PBE-GGA, Alexandria).

The structure belongs to space group F-43m (No. 216); the cell edges are 9.014, 9.014 and 9.014 Å and the angles 90.00°, 90.00° and 90.00°. Symmetry generates all atoms from Ca at (0.000, 0.000, 0.000), Pd at (0.124, 0.124, 0.376), O at (0.105, 0.105, 0.605) and O at (0.144, 0.144, 0.144).

For the total magnetization, the calculation gives 7.363 Bohr magnetons per cell. The uncorrected formation energy is -0.71 eV/atom. The calculation puts the energy above the most stable polymorph in this dataset at 1.6 kJ/mol of atoms. The calculated volume comes out at 732.5 Å³ per cell.

4.
# InTcHg

A relaxed InTcHg crystal (PBE-GGA, Alexandria).

The structure belongs to space group Imm2 (No. 44); the cell edges are 2.917, 4.109 and 9.651 Å and the angles 90.00°, 90.00° and 90.00°. Symmetry generates all atoms from In at (0.000, 0.000, 0.000), Tc at (0.000, 0.000, 0.645) and Hg at (0.000, 0.000, 0.312).

For the total magnetization, the calculation gives 0.000 Bohr magnetons per cell. The calculation puts the formation energy at 0.562 eV/atom. The calculation puts the energy above the most stable polymorph in this dataset at 4.6 kJ/mol of atoms. The calculated volume comes out at 115.7 Å³ per cell.

5.
# Nd5S4

A relaxed Nd5S4 crystal (PBE-GGA, Alexandria).

The structure belongs to space group R-3m (No. 166, hexagonal axes); the cell edges are 4.0403, 4.0403 and 49.3998 Å and the angles 90.00°, 90.00° and 120.00°. Symmetry generates all atoms from Nd at (0.0000, 0.0000, 0.0000), Nd at (0.0000, 0.0000, 0.1988), Nd at (0.0000, 0.0000, 0.4023), S at (0.0000, 0.0000, 0.1018) and S at (0.0000, 0.0000, 0.2994).

For the total magnetization, the calculation gives 0.000 Bohr magnetons per cell. The uncorrected formation energy is -1.77 eV/atom. The calculated volume comes out at 698.4 Å³ per cell.

6.
# CoReBr2

A relaxed CoReBr2 crystal (PBE-GGA, Alexandria).

The structure belongs to space group Immm (No. 71); the cell edges are 3.121, 4.070 and 14.997 Å and the angles 90.00°, 90.00° and 90.00°. Symmetry generates all atoms from Co at (0.000, 0.000, 0.000), Re at (0.000, 0.000, 0.500) and Br at (0.000, 0.500, 0.139).

For the total magnetization, the calculation gives 5.291 Bohr magnetons per cell. The uncorrected formation energy is 0.58 eV/atom. The calculation puts the energy above the most stable polymorph in this dataset at 26.5 kJ/mol of atoms. The calculated volume comes out at 190.5 Å³ per cell.

7.
# Ge4TeSe3

A relaxed Ge4TeSe3 crystal (PBE-GGA, Alexandria).

The structure belongs to space group Pmn2_1 (No. 31); the cell edges are 11.528, 5.883 and 5.914 Å and the angles 90.00°, 90.00° and 90.00°. Symmetry generates all atoms from Ge at (0.000, 0.212, 0.000), Ge at (0.000, 0.754, 0.467), Ge at (0.244, 0.712, 0.967), Te at (0.000, 0.246, 0.523), Se at (0.000, 0.760, 0.027) and Se at (0.249, 0.268, 0.024).

For the total magnetization, the calculation gives 0.000 Bohr magnetons per cell. The uncorrected formation energy is -0.18 eV/atom. The calculated volume comes out at 401.1 Å³ per cell.

8.
# LaTeAs

A relaxed LaTeAs crystal (PBE-GGA, Alexandria).

The structure belongs to space group Pnma (No. 62); the cell edges are 7.885, 4.204 and 10.413 Å and the angles 90.00°, 90.00° and 90.00°. Symmetry generates all atoms from La at (0.223, 0.250, 0.156), Te at (0.094, 0.250, 0.849) and As at (0.090, 0.250, 0.461).

For the total magnetization, the calculation gives 0.000 Bohr magnetons per cell. The uncorrected formation energy is -1.31 eV/atom. The calculated volume comes out at 345.2 Å³ per cell.

9.
# CsNa9Hg4

A relaxed CsNa9Hg4 crystal (PBE-GGA, Alexandria).

The structure belongs to space group I4/mcm (No. 140); the cell edges are 10.869, 10.869 and 15.714 Å and the angles 90.00°, 90.00° and 90.00°. Symmetry generates all atoms from Cs at (0.000, 0.000, 0.250), Na at (0.000, 0.500, 0.000), Na at (0.071, 0.201, 0.000), Na at (0.134, 0.366, 0.189) and Hg at (0.169, 0.331, 0.390).

For the total magnetization, the calculation gives 0.001 Bohr magnetons per cell. The calculation puts the formation energy at -0.145 eV/atom. The calculated volume comes out at 1856.4 Å³ per cell.

10.
# YCd2Si

A relaxed YCd2Si crystal (PBE-GGA, Alexandria).

The structure belongs to space group R-3m (No. 166, hexagonal axes); the cell edges are 3.5309, 3.5309 and 27.3038 Å and the angles 90.00°, 90.00° and 120.00°. Symmetry generates all atoms from Y at (0.0000, 0.0000, 0.0000), Cd at (0.0000, 0.0000, 0.2386) and Si at (0.0000, 0.0000, 0.5000).

For the total magnetization, the calculation gives 0.000 Bohr magnetons per cell. The uncorrected formation energy is 0.21 eV/atom. The calculated volume comes out at 294.8 Å³ per cell.

11.
# TbNd5Ir4

A relaxed TbNd5Ir4 crystal (PBE-GGA, Alexandria).

The structure belongs to space group C2/m (No. 12); the cell edges are 18.682, 4.310 and 7.607 Å and the angles 90.00°, 113.89° and 90.00°. Symmetry generates all atoms from Tb at (0.000, 0.000, 0.000), Nd at (0.000, 0.000, 0.500), Nd at (0.165, 0.500, 0.407), Nd at (0.165, 0.500, 0.922), Ir at (0.000, 0.500, 0.246) and Ir at (0.198, 0.000, 0.198).

For the total magnetization, the calculation gives 0.000 Bohr magnetons per cell. The calculation puts the formation energy at -0.543 eV/atom. The calculated volume comes out at 560.0 Å³ per cell.

12.
# La2BIr

A relaxed La2BIr crystal (PBE-GGA, Alexandria).

The structure belongs to space group I-42d (No. 122); the cell edges are 7.341, 7.341 and 7.371 Å and the angles 90.00°, 90.00° and 90.00°. Symmetry generates all atoms from La at (0.239, 0.250, 0.125), B at (0.000, 0.000, 0.000) and Ir at (0.000, 0.000, 0.500).

For the total magnetization, the calculation gives 0.000 Bohr magnetons per cell. The calculation puts the formation energy at 0.207 eV/atom. The calculated volume comes out at 397.2 Å³ per cell.

> Look up the total magnetization of the second one.

0.000 Bohr magnetons per cell